VASP calculation (PBE) on an optimized crystal structure of KLa2Re.

The value obtained for the formation enthalpy at 0 K is 0.36 eV per atom. Its crystal system is monoclinic. As for the energy relative to the lowest polymorph listed for this composition: 115 meV per atom. The value obtained for the raw total energy is -5.485 eV/atom.

It has space group C2/m (No. 12), with a = 7.4242 Å, b = 4.2686 Å, c = 10.6460 Å, α = 90.00°, β = 102.19° and γ = 90.00°. The inequivalent atoms are K at (0.0000, 0.0000, 0.0000), La at (0.2101, 0.0000, 0.6426) and Re at (0.0000, 0.5000, 0.5000).